Ce4Se3Cl | PBE | relaxed

E ... -6.135 eV per atom
DOS at the Fermi energy ... 3.19 states/eV per atom
Formation energy without anion corrections ... -1630.1 meV/atom
Density ... 6686 kg/m³

a b c (Å): 4.071 4.071 14.414
angles (deg): 90.00 90.00 120.00
Site moments in Bohr magnetons follow the coordinates.
Fractional coordinates of all 8 atoms:
Ce1 0.333 0.667 0.373  0.89
Se1 0.000 0.000 0.755  -0.02
Ce2 0.667 0.333 0.627  0.89
Se2 0.000 0.000 0.245  -0.02
Se3 0.000 0.000 0.500  -0.02
Ce3 0.667 0.333 0.121  0.91
Ce4 0.333 0.667 0.879  0.91
Cl1 0.000 0.000 0.000  -0.01

=====

Cd2CoAg | PBE | relaxed

E ... -2.690 eV per atom
DOS at the Fermi energy ... 0.90 states/eV per atom
DFT formation energy ... 1.03 eV/f.u.
Density ... 9215 kg/m³

a b c (Å): 2.920 4.123 5.861
angles (deg): 90.00 90.00 90.00
Site moments in Bohr magnetons follow the coordinates.
Fractional coordinates of all 4 atoms:
Cd1 0.000 0.000 0.987  0.01
Ag1 0.500 0.500 0.741  0.00
Cd2 0.500 0.500 0.275  -0.02
Co1 0.000 0.000 0.498  1.62

=====

SrCaB2Se | PBE | relaxed

E ... -2.753 eV per atom
DOS at the Fermi energy ... 0.70 states/eV per atom
Formation energy without anion corrections ... 1351.7 meV/atom
Density ... 1354 kg/m³

a b c (Å): 4.656 12.917 4.656
angles (deg): 90.00 90.00 90.00
Site moments in Bohr magnetons follow the coordinates.
Fractional coordinates of all 5 atoms:
Ca1 0.000 0.000 0.000  0.16
B1 0.000 0.000 0.500  0.24
Se1 0.500 0.500 0.500  0.01
Sr1 0.000 0.500 0.000  0.00
B2 0.500 0.000 0.000  0.35

=====

no.,total magnetization (μB per formula unit)
1,4.3
2,1.6
3,1.9